KIrAu2F: relaxed, PBE.

a b c (Å): 4.956 6.980 4.956
angles (deg): 90.00 90.00 90.00
Site moments in Bohr magnetons follow the coordinates.
Atoms (fractional coordinates):
K (0.000, 0.500, 0.000)  0.00
Ir (0.000, 0.000, 0.000)  1.01
Au (0.000, 0.000, 0.500)  0.27
Au (0.500, 0.000, 0.000)  0.10
F (0.500, 0.500, 0.500)  0.15

Volume (Å³ per cell): 171.4
Space-group type: No. 123
ρ (kg/m3): 6241
Total energy (eV/atom): -3.34

IrAuNF2: relaxed, PBE.

a b c (Å): 4.601 4.601 3.749
angles (deg): 90.00 90.00 90.00
Site moments in Bohr magnetons follow the coordinates.
Atoms (fractional coordinates):
N (0.000, 0.000, 0.500)  0.09
Ir (0.500, 0.500, 0.500)  2.08
Au (0.000, 0.000, 0.000)  -0.01
F (0.000, 0.500, 0.000)  0.05
F (0.500, 0.000, 0.000)  0.05

Volume (Å³ per cell): 79.4
Space-group type: No. 123
Energy above the lowest structure with this stoichiometry (eV/f.u.): 5.737
ρ (kg/m3): 9232
Total energy (eV/atom): -3.64

IrAuNF2: relaxed, PBE.

a b c (Å): 4.405 4.405 3.692
angles (deg): 90.00 90.00 90.00
Atoms (fractional coordinates):
N (0.000, 0.000, 0.500)
Ir (0.000, 0.000, 0.000)
Au (0.500, 0.500, 0.500)
F (0.000, 0.500, 0.000)
F (0.500, 0.000, 0.000)

Volume (Å³ per cell): 71.6
Space-group type: No. 123
Energy above the lowest structure with this stoichiometry (eV/f.u.): 0.000
ρ (kg/m3): 10228
Total energy (eV/atom): -4.79

IrAuN2F: relaxed, PBE.

a b c (Å): 3.778 3.778 4.842
angles (deg): 90.00 90.00 90.00
Site moments in Bohr magnetons follow the coordinates.
Atoms (fractional coordinates):
N (0.000, 0.500, 0.000)  0.18
N (0.500, 0.000, 0.000)  0.18
Ir (0.000, 0.000, 0.000)  0.01
Au (0.500, 0.500, 0.500)  0.01
F (0.000, 0.000, 0.500)  0.00

Volume (Å³ per cell): 69.1
Space-group type: No. 123
Energy above the lowest structure with this stoichiometry (eV/f.u.): 0.000
ρ (kg/m3): 10482
Total energy (eV/atom): -5.33

IrAuN2F: relaxed, PBE.

a b c (Å): 4.079 4.079 4.068
angles (deg): 90.00 90.00 90.00
Site moments in Bohr magnetons follow the coordinates.
Atoms (fractional coordinates):
N (0.000, 0.500, 0.000)  0.00
N (0.500, 0.000, 0.000)  0.00
Ir (0.500, 0.500, 0.500)  1.11
Au (0.000, 0.000, 0.000)  0.01
F (0.000, 0.000, 0.500)  0.03

Volume (Å³ per cell): 67.7
Space-group type: No. 123
Energy above the lowest structure with this stoichiometry (eV/f.u.): 6.554
ρ (kg/m3): 10701
Total energy (eV/atom): -4.02

NaIrAuF2: relaxed, PBE.

a b c (Å): 4.462 5.151 4.462
angles (deg): 90.00 90.00 90.00
Site moments in Bohr magnetons follow the coordinates.
Atoms (fractional coordinates):
Na (0.500, 0.500, 0.500)  -0.01
Ir (0.000, 0.500, 0.000)  1.66
Au (0.000, 0.000, 0.000)  0.17
F (0.000, 0.000, 0.500)  0.02
F (0.500, 0.000, 0.000)  0.02

Volume (Å³ per cell): 102.6
Space-group type: No. 123
ρ (kg/m3): 7288
Total energy (eV/atom): -3.42

PIrAuOF: relaxed, PBE.

a b c (Å): 3.389 5.004 5.060
angles (deg): 97.80 104.29 97.76
Atoms (fractional coordinates):
P (0.144, 0.416, 0.156)
Ir (0.760, 0.504, 0.447)
Au (0.843, 0.990, 0.264)
O (0.050, 0.387, 0.844)
F (0.622, 0.791, 0.712)

Volume (Å³ per cell): 81.1
Space-group type: No. 1
Energy above the lowest structure with this stoichiometry (eV/f.u.): 1.160
ρ (kg/m3): 9320
Total energy (eV/atom): -5.64

PIrAuOF: relaxed, PBE.

a b c (Å): 2.828 5.632 5.783
angles (deg): 109.82 90.37 104.38
Atoms (fractional coordinates):
P (0.367, 0.682, 0.817)
Ir (0.704, 0.361, 0.561)
Au (0.045, 0.041, 0.783)
O (0.163, 0.284, 0.311)
F (0.389, 0.720, 0.105)

Volume (Å³ per cell): 83.5
Space-group type: No. 1
Energy above the lowest structure with this stoichiometry (eV/f.u.): 1.947
ρ (kg/m3): 9050
Total energy (eV/atom): -5.49

Computed E_form (uncorrected), in the same sequence as the records: 0.337, 1.202, 0.055, 0.798, 2.108, 0.023, -0.769, -0.612 eV per atom.